First-principles (SCAN) data for a PBEsol-optimized structure of ScOsPt2, as listed in the Alexandria database.

Properties
The density of states at the Fermi level is 3.05 states/eV/f.u. The calculation puts the magnetization at 0.0 μB per cell. The calculation puts the total energy at -227.1 eV per cell. The space-group type is No. 166.

Unit cell a=9.190 b=9.190 c=9.190 alpha=17.57 beta=17.57 gamma=17.57
Fractional coordinates of all 4 atoms:
Sc 0.000 0.000 0.000
Os 0.500 0.500 0.500
Pt 0.248 0.248 0.248
Pt 0.752 0.752 0.752

First-principles (SCAN) data for a PBEsol-optimized structure of ScOs2Pt, as listed in the Alexandria database.

Properties
The density of states at the Fermi level is 1.70 states/eV/f.u. The calculation puts the magnetization at 0.0 μB per cell. The calculation puts the total energy at -229.6 eV per cell. The space-group type is No. 99.

Unit cell a=2.802 b=2.802 c=7.825 alpha=90.00 beta=90.00 gamma=90.00
Fractional coordinates of all 4 atoms:
Sc 0.000 0.000 0.000
Os 0.000 0.000 0.484
Os 0.500 0.500 0.270
Pt 0.500 0.500 0.739

First-principles (SCAN) data for a PBEsol-optimized structure of Sc2OsPt, as listed in the Alexandria database.

Properties
The density of states at the Fermi level is 0.76 states/eV/f.u. The calculation puts the magnetization at 0.0 μB per cell. The calculation puts the total energy at -174.9 eV per cell. The space-group type is No. 123. Its offset from the most stable computed form is 0.000 eV per atom.

Unit cell a=3.239 b=3.239 c=6.300 alpha=90.00 beta=90.00 gamma=90.00
Fractional coordinates of all 4 atoms:
Sc 0.000 0.000 0.242
Sc 0.000 0.000 0.758
Os 0.500 0.500 0.000
Pt 0.500 0.500 0.500

First-principles (SCAN) data for a PBEsol-optimized structure of ScOs2Pt, as listed in the Alexandria database.

Properties
The density of states at the Fermi level is 3.79 states/eV/f.u. The calculation puts the magnetization at 0.0 μB per cell. The calculation puts the total energy at -228.3 eV per cell. The space-group type is No. 47.

Unit cell a=2.713 b=4.009 c=5.677 alpha=90.00 beta=90.00 gamma=90.00
Fractional coordinates of all 4 atoms:
Sc 0.000 0.000 0.000
Os 0.500 0.500 0.273
Os 0.500 0.500 0.727
Pt 0.000 0.000 0.500

First-principles (SCAN) data for a PBEsol-optimized structure of ScOsPt2, as listed in the Alexandria database.

Properties
The density of states at the Fermi level is 2.61 states/eV/f.u. The calculation puts the magnetization at 0.0 μB per cell. The calculation puts the total energy at -229.0 eV per cell. The space-group type is No. 139.

Unit cell a=4.864 b=4.864 c=4.864 alpha=132.73 beta=132.73 gamma=69.08
Fractional coordinates of all 4 atoms:
Sc 0.000 0.000 0.000
Os 0.500 0.500 0.000
Pt 0.250 0.750 0.500
Pt 0.750 0.250 0.500

First-principles (SCAN) data for a PBEsol-optimized structure of ScOsPt, as listed in the Alexandria database.

Properties
The density of states at the Fermi level is 4.49 states/eV/f.u. The calculation puts the magnetization at 0.0 μB per cell. The calculation puts the total energy at -156.5 eV per cell. The space-group type is No. 216.

Unit cell a=4.304 b=4.304 c=4.304 alpha=60.00 beta=60.00 gamma=60.00
Fractional coordinates of all 3 atoms:
Sc 0.000 0.000 0.000
Os 0.500 0.500 0.500
Pt 0.750 0.750 0.750

First-principles (SCAN) data for a PBEsol-optimized structure of ScOsPt2, as listed in the Alexandria database.

Properties
The density of states at the Fermi level is 4.12 states/eV/f.u. The calculation puts the magnetization at 0.0 μB per cell. The calculation puts the total energy at -226.9 eV per cell. The space-group type is No. 160.

Unit cell a=9.154 b=9.154 c=9.154 alpha=17.75 beta=17.75 gamma=17.75
Fractional coordinates of all 4 atoms:
Sc 0.000 0.000 0.000
Os 0.248 0.248 0.248
Pt 0.502 0.502 0.502
Pt 0.748 0.748 0.748

First-principles (SCAN) data for a PBEsol-optimized structure of Sc2OsPt, as listed in the Alexandria database.

Properties
The density of states at the Fermi level is 0.67 states/eV/f.u. The calculation puts the magnetization at 0.0 μB per cell. The calculation puts the total energy at -174.8 eV per cell. The space-group type is No. 225. Its offset from the most stable computed form is 0.025 eV per atom.

Unit cell a=4.532 b=4.532 c=4.532 alpha=60.00 beta=60.00 gamma=60.00
Fractional coordinates of all 4 atoms:
Sc 0.250 0.250 0.250
Sc 0.750 0.750 0.750
Os 0.000 0.000 0.000
Pt 0.500 0.500 0.500

First-principles (SCAN) data for a PBEsol-optimized structure of ScOs2Pt, as listed in the Alexandria database.

Properties
The density of states at the Fermi level is 4.14 states/eV/f.u. The calculation puts the magnetization at 0.0 μB per cell. The calculation puts the total energy at -228.2 eV per cell. The space-group type is No. 160.

Unit cell a=9.176 b=9.176 c=9.176 alpha=17.54 beta=17.54 gamma=17.54
Fractional coordinates of all 4 atoms:
Sc 0.000 0.000 0.000
Os 0.245 0.245 0.245
Os 0.503 0.503 0.503
Pt 0.751 0.751 0.751

First-principles (SCAN) data for a PBEsol-optimized structure of ScOsPt3, as listed in the Alexandria database.

Properties
The density of states at the Fermi level is 3.71 states/eV/f.u. The calculation puts the magnetization at 2.5 μB per cell. The calculation puts the total energy at -289.1 eV per cell. The space-group type is No. 221.

Unit cell a=4.605 b=4.605 c=4.605 alpha=90.00 beta=90.00 gamma=90.00
Fractional coordinates of all 5 atoms:
Sc 0.000 0.000 0.000
Os 0.500 0.500 0.500
Pt 0.000 0.000 0.500
Pt 0.000 0.500 0.000
Pt 0.500 0.000 0.000

First-principles (SCAN) data for a PBEsol-optimized structure of ScOs2Pt, as listed in the Alexandria database.

Properties
The density of states at the Fermi level is 4.04 states/eV/f.u. The calculation puts the magnetization at 0.0 μB per cell. The calculation puts the total energy at -229.0 eV per cell. The space-group type is No. 12.

Unit cell a=4.820 b=4.820 c=4.786 alpha=99.36 beta=99.36 gamma=33.65
Fractional coordinates of all 4 atoms:
Sc 0.000 0.000 0.000
Os 0.245 0.245 0.736
Os 0.755 0.755 0.264
Pt 0.500 0.500 0.500

First-principles (SCAN) data for a PBEsol-optimized structure of ScOsPt2, as listed in the Alexandria database.

Properties
The density of states at the Fermi level is 3.63 states/eV/f.u. The calculation puts the magnetization at 1.4 μB per cell. The calculation puts the total energy at -227.6 eV per cell. The space-group type is No. 225.

Unit cell a=4.478 b=4.478 c=4.478 alpha=60.00 beta=60.00 gamma=60.00
Fractional coordinates of all 4 atoms:
Sc 0.000 0.000 0.000
Os 0.500 0.500 0.500
Pt 0.250 0.250 0.250
Pt 0.750 0.750 0.750

First-principles (SCAN) data for a PBEsol-optimized structure of Sc2OsPt, as listed in the Alexandria database.

Properties
The density of states at the Fermi level is 2.33 states/eV/f.u. The calculation puts the magnetization at 0.2 μB per cell. The calculation puts the total energy at -170.6 eV per cell. The space-group type is No. 160. Its offset from the most stable computed form is 1.085 eV per atom.

Unit cell a=9.321 b=9.321 c=9.321 alpha=18.61 beta=18.61 gamma=18.61
Fractional coordinates of all 4 atoms:
Sc 0.000 0.000 0.000
Sc 0.227 0.227 0.227
Os 0.737 0.737 0.737
Pt 0.487 0.487 0.487

First-principles (SCAN) data for a PBEsol-optimized structure of OsPt2Se, as listed in the Alexandria database.

Properties
The density of states at the Fermi level is 3.52 states/eV/f.u. The calculation puts the magnetization at 0.0 μB per cell. The calculation puts the total energy at -230.9 eV per cell. The space-group type is No. 160.

Unit cell a=8.698 b=8.698 c=8.698 alpha=19.00 beta=19.00 gamma=19.00
Fractional coordinates of all 4 atoms:
Os 0.000 0.000 0.000
Pt 0.506 0.506 0.506
Pt 0.751 0.751 0.751
Se 0.260 0.260 0.260

First-principles (SCAN) data for a PBEsol-optimized structure of Zr2OsPtSe, as listed in the Alexandria database.

Properties
The density of states at the Fermi level is 3.90 states/eV/f.u. The calculation puts the magnetization at 0.0 μB per cell. The calculation puts the total energy at -222.5 eV per cell. The space-group type is No. 123.

Unit cell a=5.001 b=5.001 c=4.708 alpha=90.00 beta=90.00 gamma=90.00
Fractional coordinates of all 5 atoms:
Zr 0.000 0.500 0.000
Zr 0.500 0.000 0.000
Os 0.000 0.000 0.000
Pt 0.000 0.000 0.500
Se 0.500 0.500 0.500

First-principles (SCAN) data for a PBEsol-optimized structure of Sr2OsPt, as listed in the Alexandria database.

Properties
The density of states at the Fermi level is 3.94 states/eV/f.u. The calculation puts the magnetization at 0.0 μB per cell. The calculation puts the total energy at -185.3 eV per cell. The space-group type is No. 123.

Unit cell a=4.866 b=4.866 c=3.818 alpha=90.00 beta=90.00 gamma=90.00
Fractional coordinates of all 4 atoms:
Sr 0.000 0.500 0.000
Sr 0.500 0.000 0.000
Os 0.000 0.000 0.500
Pt 0.500 0.500 0.500